# PuFeAs

An optimized crystal structure of PuFeAs (PBE, Alexandria via LeMat-Bulk).

ΔE_f: -0.577 eV/atom
raw total energy: -58.3 eV for the cell shown
space group: No. 129

Unit cell a=4.1609 b=4.1609 c=6.4988 alpha=90.00 beta=90.00 gamma=90.00
Closest atoms and distances in Å follow each position.
Element x y z (fractional)
Pu  0.2500  0.2500  0.1966  4 Fe 2.87, 5 As 2.98-3.04
Pu  0.7500  0.7500  0.8034  4 Fe 2.87, 5 As 2.98-3.04
Fe  0.2500  0.7500  0.5000  4 As 2.55
Fe  0.7500  0.2500  0.5000  4 As 2.55
As  0.2500  0.2500  0.7282  4 Fe 2.55
As  0.7500  0.7500  0.2718  4 Fe 2.55